# 1
Below is a relaxed structure of ZnAsO3, with properties calculated at the PBE level.

```
ZnAsO3
1.0
-2.932 -2.069 -1.185
1.747 -0.586 -3.300
1.623 -3.108 1.411
O As Zn
3 1 1
Direct
0.000 0.500 0.000
0.000 0.000 0.500
0.500 0.000 0.000
0.500 0.500 0.500
0.000 0.000 0.000
```

Computed properties:
Magnetic moment ... 0.0 μB per formula unit
Raw formation energy ... -134 meV/atom
Space-group type ... Pm-3m (221)

---

# 2
Below is a relaxed structure of LiCdRu2, with properties calculated at the PBE level.

```
LiCdRu2
1.0
-1.071 -1.994 -1.438
-0.609 -1.304 2.263
-7.685 3.969 0.221
Li Ru Cd
1 2 1
Direct
0.500 0.500 0.750
0.000 0.000 0.988
0.000 0.000 0.512
0.500 0.500 0.250
```

Computed properties:
Magnetic moment ... 2.0 μB per formula unit
Energy of formation ... 2.00 eV/f.u.
Space-group type ... P4/mmm (123)

---

# 3
Below is a relaxed structure of TaAlH2, with properties calculated at the PBE level.

```
TaAlH2
1.0
0.000 2.692 2.692
2.692 0.000 2.692
2.692 2.692 0.000
H Ta Al
2 1 1
Direct
0.250 0.250 0.250
0.750 0.750 0.750
0.500 0.500 0.500
0.000 0.000 0.000
```

Computed properties:
VASP energy ... -0.183 hartree per atom
Magnetic moment ... 0.0 μB per formula unit
Space-group type ... Fm-3m (225)

---

# 4
Below is a relaxed structure of Rb3WAu, with properties calculated at the PBE level.

```
Rb3WAu
1.0
6.536 0.000 0.000
0.000 6.536 0.000
0.000 0.000 6.536
Rb Au W
3 1 1
Direct
0.000 0.000 0.500
0.500 0.000 0.000
0.000 0.500 0.000
0.000 0.000 0.000
0.500 0.500 0.500
```

Computed properties:
Magnetic moment ... 6.0 μB per formula unit
Energy of formation ... 6.02 eV/f.u.
Space-group type ... Pm-3m (221)

---

# 5
Below is a relaxed structure of SbAsPt2, with properties calculated at the PBE level.

```
SbAsPt2
1.0
4.775 0.000 0.000
0.000 4.775 0.000
2.387 2.387 7.604
Pt As Sb
4 2 2
Direct
0.875 0.821 0.750
0.571 0.125 0.250
0.375 0.429 0.750
0.179 0.625 0.250
0.500 0.500 0.000
0.250 0.750 0.500
0.000 0.000 0.000
0.750 0.250 0.500
```

Computed properties:
Magnetic moment ... 0.0 μB per formula unit
Raw formation energy ... -248 meV/atom
Space-group type ... I-42d (122)

---

# 6
Below is a relaxed structure of KTl2In2F6, with properties calculated at the PBE level.

```
KTl2In2F6
1.0
-4.202 -1.437 4.663
5.999 -1.330 0.550
-1.696 8.093 0.966
F In Tl K
6 2 2 1
Direct
0.150 0.851 0.234
0.702 0.851 0.234
0.774 0.548 0.523
0.226 0.452 0.477
0.850 0.149 0.766
0.298 0.149 0.766
0.063 0.126 0.202
0.937 0.874 0.798
0.293 0.587 0.813
0.707 0.413 0.187
0.500 0.000 0.500
```

Computed properties:
Magnetic moment ... 0.0 μB per formula unit
Raw formation energy ... -2018 meV/atom
Space-group type ... C2/m (12)

---

# 7
Below is a relaxed structure of Sc2CrGa2Ru5, with properties calculated at the PBE level.

```
Sc2CrGa2Ru5
1.0
-0.079 -3.220 -0.055
9.345 -0.179 -3.025
3.021 -0.233 9.345
Ru Sc Cr Ga
10 4 2 4
Direct
0.500 0.059 0.809
0.500 0.809 0.941
0.500 0.941 0.191
0.500 0.000 0.500
0.500 0.441 0.309
0.500 0.500 0.000
0.500 0.559 0.691
0.500 0.191 0.059
0.500 0.309 0.559
0.500 0.691 0.441
0.000 0.332 0.832
0.000 0.668 0.168
0.000 0.168 0.332
0.000 0.832 0.668
0.000 0.500 0.500
0.000 0.000 0.000
0.000 0.867 0.367
0.000 0.133 0.633
0.000 0.633 0.867
0.000 0.367 0.133
```

Computed properties:
Magnetic moment ... 0.0 μB per formula unit
Energy of formation ... -2.45 eV/f.u.
Space-group type ... P4/mbm (127)

---

# 8
Below is a relaxed structure of Zn2RuCl, with properties calculated at the PBE level.

```
Zn2RuCl
1.0
-1.816 -2.128 -1.115
0.922 -1.908 2.139
-5.338 2.282 4.338
Zn Cl Ru
2 1 1
Direct
0.000 0.000 0.970
0.000 0.000 0.530
0.500 0.500 0.250
0.500 0.500 0.750
```

Computed properties:
Magnetic moment ... 0.9 μB per formula unit
Raw formation energy ... 31 meV/atom
Space-group type ... P4/mmm (123)